The following is a DFT calculation (PBE) of a geometry-optimized Rb2FeSnCl6 structure.

* size of the total moment: 4.00 μB/cell
* E_tot: -3.82 eV per atom

Unit cell a=7.405 b=7.405 c=7.405 alpha=60.00 beta=60.00 gamma=60.00
Site moments in Bohr magnetons follow the coordinates.
Fractional positions:
Cl1 0.735 0.265 0.265  0.04
Cl2 0.265 0.735 0.265  0.04
Cl3 0.735 0.735 0.265  0.05
Cl4 0.265 0.265 0.735  0.05
Cl5 0.735 0.265 0.735  0.04
Cl6 0.265 0.735 0.735  0.04
Fe1 0.500 0.500 0.500  3.45
Rb1 0.250 0.250 0.250  0.00
Rb2 0.750 0.750 0.750  0.00
Sn1 0.000 0.000 0.000  0.07

=====

The following is a DFT calculation (PBE) of a geometry-optimized Gd2Al2O5 structure.

* size of the total moment: 0.00 μB/cell
* polymorph energy (0 for the lowest one): 0.0 meV per atom

Unit cell a=7.082 b=3.724 c=3.724 alpha=90.00 beta=90.00 gamma=90.00
Fractional positions:
Al1 0.234 0.500 0.500
Al2 0.766 0.500 0.500
Gd1 0.000 0.000 0.000
Gd2 0.500 0.000 0.000
O1 0.243 0.500 0.000
O2 0.757 0.500 0.000
O3 0.243 0.000 0.500
O4 0.757 0.000 0.500
O5 0.500 0.500 0.500

=====

- Which of these has the lowest size of the total moment?
  Gd2Al2O5

=====

- Look up the size of the total moment of the first one.
  4.00 μB/cell

=====

Copy entry 2 word for word.
The following is a DFT calculation (PBE) of a geometry-optimized Gd2Al2O5 structure.

* size of the total moment: 0.00 μB/cell
* polymorph energy (0 for the lowest one): 0.0 meV per atom

Unit cell a=7.082 b=3.724 c=3.724 alpha=90.00 beta=90.00 gamma=90.00
Fractional positions:
Al1 0.234 0.500 0.500
Al2 0.766 0.500 0.500
Gd1 0.000 0.000 0.000
Gd2 0.500 0.000 0.000
O1 0.243 0.500 0.000
O2 0.757 0.500 0.000
O3 0.243 0.000 0.500
O4 0.757 0.000 0.500
O5 0.500 0.500 0.500

=====

- Look up the size of the total moment of the first one.
  4.00 μB/cell